# Cu2ReAu, optimized geometry, DFT PBE
# * magnetic moment: 0.000 Bohr magnetons per cell
# * formation energy from the elements: 0.247 eV per atom
# * raw total energy: -5.73 eV/atom
data_Cu2ReAu
_chemical_formula_sum 'Cu2 Re1 Au1'
_cell_length_a 8.922
_cell_length_b 8.922
_cell_length_c 8.922
_cell_angle_alpha 17.84
_cell_angle_beta 17.84
_cell_angle_gamma 17.84
_space_group_name_H-M_alt 'P 1'
_space_group_IT_number 1
loop_
_space_group_symop_operation_xyz
'x,y,z'
loop_
_atom_site_label
_atom_site_type_symbol
_atom_site_fract_x
_atom_site_fract_y
_atom_site_fract_z
Cu1 Cu 0.247 0.247 0.247
Cu2 Cu 0.753 0.753 0.753
Re1 Re 0.500 0.500 0.500
Au1 Au 0.000 0.000 0.000

# KCaSeBr, optimized geometry, DFT PBE
# * magnetic moment: 0.000 Bohr magnetons per cell
# * raw total energy: -3.83 eV/atom
# * ΔE_f (raw): -1.76 eV per atom
data_KCaSeBr
_chemical_formula_sum 'K1 Ca1 Se1 Br1'
_cell_length_a 8.201
_cell_length_b 8.201
_cell_length_c 8.201
_cell_angle_alpha 30.83
_cell_angle_beta 30.83
_cell_angle_gamma 30.83
_space_group_name_H-M_alt 'P 1'
_space_group_IT_number 1
loop_
_space_group_symop_operation_xyz
'x,y,z'
loop_
_atom_site_label
_atom_site_type_symbol
_atom_site_fract_x
_atom_site_fract_y
_atom_site_fract_z
K1 K 0.000 0.000 0.000
Ca1 Ca 0.815 0.815 0.815
Se1 Se 0.422 0.422 0.422
Br1 Br 0.230 0.230 0.230

# CuMoSCl2, optimized geometry, DFT PBE
# * magnetic moment: 4.009 Bohr magnetons per cell
# * raw total energy: -4.05 eV/atom
# * ΔE_f (raw): 0.50 eV per atom
data_CuMoSCl2
_chemical_formula_sum 'Cu1 Mo1 S1 Cl2'
_cell_length_a 4.534
_cell_length_b 4.534
_cell_length_c 4.910
_cell_angle_alpha 90.00
_cell_angle_beta 90.00
_cell_angle_gamma 90.00
_space_group_name_H-M_alt 'P 1'
_space_group_IT_number 1
loop_
_space_group_symop_operation_xyz
'x,y,z'
loop_
_atom_site_label
_atom_site_type_symbol
_atom_site_fract_x
_atom_site_fract_y
_atom_site_fract_z
Cu1 Cu 0.000 0.000 0.000
Mo1 Mo 0.500 0.500 0.500
S1 S 0.000 0.000 0.500
Cl1 Cl 0.000 0.500 0.000
Cl2 Cl 0.500 0.000 0.000

# LiCdIn2Ni, optimized geometry, DFT PBE
# * magnetic moment: 0.000 Bohr magnetons per cell
# * formation energy from the elements: -0.031 eV per atom
# * raw total energy: -2.85 eV/atom
data_LiCdIn2Ni
_chemical_formula_sum 'Li1 Cd1 In2 Ni1'
_cell_length_a 4.904
_cell_length_b 4.904
_cell_length_c 5.031
_cell_angle_alpha 90.00
_cell_angle_beta 90.00
_cell_angle_gamma 90.00
_space_group_name_H-M_alt 'P 1'
_space_group_IT_number 1
loop_
_space_group_symop_operation_xyz
'x,y,z'
loop_
_atom_site_label
_atom_site_type_symbol
_atom_site_fract_x
_atom_site_fract_y
_atom_site_fract_z
Li1 Li 0.000 0.000 0.000
Cd1 Cd 0.500 0.500 0.000
In1 In 0.000 0.500 0.500
In2 In 0.500 0.000 0.500
Ni1 Ni 0.500 0.500 0.500

# RbZnBr2, optimized geometry, DFT PBE
# * magnetic moment: 0.795 Bohr magnetons per cell
# * raw total energy: -2.11 eV/atom
# * ΔE_f (raw): -0.72 eV per atom
data_RbZnBr2
_chemical_formula_sum 'Rb1 Zn1 Br2'
_cell_length_a 5.600
_cell_length_b 5.600
_cell_length_c 5.600
_cell_angle_alpha 60.00
_cell_angle_beta 60.00
_cell_angle_gamma 60.00
_space_group_name_H-M_alt 'P 1'
_space_group_IT_number 1
loop_
_space_group_symop_operation_xyz
'x,y,z'
loop_
_atom_site_label
_atom_site_type_symbol
_atom_site_fract_x
_atom_site_fract_y
_atom_site_fract_z
Rb1 Rb 0.000 0.000 0.000
Zn1 Zn 0.500 0.500 0.500
Br1 Br 0.250 0.250 0.250
Br2 Br 0.750 0.750 0.750

# PtAu4, optimized geometry, DFT PBE
# * magnetic moment: 0.000 Bohr magnetons per cell
# * formation energy from the elements: 0.074 eV per atom
# * raw total energy: -3.76 eV/atom
data_PtAu4
_chemical_formula_sum 'Pt1 Au4'
_cell_length_a 4.073
_cell_length_b 2.851
_cell_length_c 8.035
_cell_angle_alpha 90.00
_cell_angle_beta 104.50
_cell_angle_gamma 90.00
_space_group_name_H-M_alt 'P 1'
_space_group_IT_number 1
loop_
_space_group_symop_operation_xyz
'x,y,z'
loop_
_atom_site_label
_atom_site_type_symbol
_atom_site_fract_x
_atom_site_fract_y
_atom_site_fract_z
Pt1 Pt 0.000 0.000 0.000
Au1 Au 0.190 0.000 0.379
Au2 Au 0.404 0.500 0.810
Au3 Au 0.596 0.500 0.190
Au4 Au 0.810 0.000 0.621